Entry 1:
# TlV2Os2

An optimized crystal structure of TlV2Os2 (PBE, Alexandria).

Geometry as POSCAR:
```
TlV2Os2
1.0
7.488 0.000 0.000
0.000 7.488 0.000
0.000 0.000 2.874
Tl V Os
2 4 4
Cartesian
0.000 0.000 0.000
3.744 3.744 0.000
1.150 2.594 1.437
2.594 6.338 1.437
4.894 1.150 1.437
6.338 4.894 1.437
0.992 4.736 0.000
2.752 0.992 0.000
4.736 6.496 0.000
6.496 2.752 0.000
```

Values from the calculation:
- Space-group type: P4/mbm

=====

Entry 2:
# Tl3VOs

An optimized crystal structure of Tl3VOs (PBE, Alexandria).

Geometry as POSCAR:
```
Tl3VOs
1.0
5.292 0.000 0.000
0.000 5.292 0.000
0.000 0.000 5.292
Tl V Os
3 1 1
Cartesian
0.000 0.000 2.646
0.000 2.646 0.000
2.646 0.000 0.000
0.000 0.000 0.000
2.646 2.646 2.646
```

Values from the calculation:
- Polymorph energy (0 for the lowest one): 0.586 eV/atom
- Space-group type: Pm-3m

=====

Entry 3:
# Tl2V2Os

An optimized crystal structure of Tl2V2Os (PBE, Alexandria).

Geometry as POSCAR:
```
Tl2V2Os
1.0
-1.939 1.939 6.659
1.939 -1.939 6.659
1.939 1.939 -6.659
Tl V Os
2 2 1
Cartesian
1.939 0.000 3.329
0.000 1.939 3.329
0.000 0.000 0.974
0.000 0.000 12.344
0.000 0.000 6.659
```

Values from the calculation:
- Polymorph energy (0 for the lowest one): 0.483 eV/atom
- Space-group type: I4/mmm

=====

Entry 4:
# TlV3Os

An optimized crystal structure of TlV3Os (PBE, Alexandria).

Geometry as POSCAR:
```
TlV3Os
1.0
4.637 0.000 0.000
0.000 4.637 0.000
0.000 0.000 4.637
Tl V Os
1 3 1
Cartesian
0.000 0.000 0.000
0.000 2.319 2.319
2.319 0.000 2.319
2.319 2.319 0.000
2.319 2.319 2.319
```

Values from the calculation:
- Polymorph energy (0 for the lowest one): 0.000 eV/atom
- Space-group type: Pm-3m

=====

Entry 5:
# Tl2V2Os

An optimized crystal structure of Tl2V2Os (PBE, Alexandria).

Geometry as POSCAR:
```
Tl2V2Os
1.0
6.336 0.000 0.000
0.000 6.336 0.000
0.000 0.000 4.687
Tl V Os
4 4 2
Cartesian
1.117 2.051 0.000
2.051 5.220 0.000
4.285 1.117 0.000
5.220 4.285 0.000
0.877 4.045 2.344
2.291 0.877 2.344
4.045 5.460 2.344
5.460 2.291 2.344
0.000 0.000 2.344
3.168 3.168 2.344
```

Values from the calculation:
- Polymorph energy (0 for the lowest one): 0.000 eV/atom
- Space-group type: P4/mbm

=====

Entry 6:
# TlVOs3

An optimized crystal structure of TlVOs3 (PBE, Alexandria).

Geometry as POSCAR:
```
TlVOs3
1.0
4.903 0.000 0.000
0.000 4.903 0.000
0.000 0.000 4.903
Tl V Os
1 1 3
Cartesian
0.000 0.000 0.000
2.452 2.452 2.452
0.000 0.000 2.452
0.000 2.452 0.000
2.452 0.000 0.000
```

Values from the calculation:
- Polymorph energy (0 for the lowest one): 1.518 eV/atom
- Space-group type: Pm-3m

=====

Entry 7:
# TlVOs3

An optimized crystal structure of TlVOs3 (PBE, Alexandria).

Geometry as POSCAR:
```
TlVOs3
1.0
4.550 0.000 0.000
0.000 4.550 0.000
0.000 0.000 4.550
Tl V Os
1 1 3
Cartesian
0.000 0.000 0.000
2.275 2.275 2.275
0.000 2.275 2.275
2.275 0.000 2.275
2.275 2.275 0.000
```

Values from the calculation:
- Polymorph energy (0 for the lowest one): 0.000 eV/atom
- Space-group type: Pm-3m

=====

Entry 8:
# Tl3VOs

An optimized crystal structure of Tl3VOs (PBE, Alexandria).

Geometry as POSCAR:
```
Tl3VOs
1.0
5.274 0.000 0.000
0.000 5.274 0.000
0.000 0.000 5.274
Tl V Os
3 1 1
Cartesian
0.000 0.000 2.637
0.000 2.637 0.000
2.637 0.000 0.000
2.637 2.637 2.637
0.000 0.000 0.000
```

Values from the calculation:
- Polymorph energy (0 for the lowest one): 0.000 eV/atom
- Space-group type: Pm-3m

=====

Entry 9:
# Tl2OsW

An optimized crystal structure of Tl2OsW (PBE, Alexandria).

Geometry as POSCAR:
```
Tl2OsW
1.0
3.690 -2.130 0.000
3.690 2.130 0.000
-0.010 0.000 6.695
Tl Os W
2 1 1
Cartesian
0.000 0.000 0.000
0.001 0.000 3.788
2.461 0.000 1.757
4.920 0.000 1.972
```

Values from the calculation:
- Polymorph energy (0 for the lowest one): 0.269 eV/atom
- Space-group type: Cm

=====

Entry 10:
# TlOsW

An optimized crystal structure of TlOsW (PBE, Alexandria).

Geometry as POSCAR:
```
TlOsW
1.0
0.000 3.114 3.114
3.114 0.000 3.114
3.114 3.114 0.000
Tl Os W
1 1 1
Cartesian
0.000 0.000 0.000
1.557 1.557 1.557
3.114 3.114 3.114
```

Values from the calculation:
- Polymorph energy (0 for the lowest one): 0.308 eV/atom
- Space-group type: F-43m

=====

Entry 11:
# Tl4OsW

An optimized crystal structure of Tl4OsW (PBE, Alexandria).

Geometry as POSCAR:
```
Tl4OsW
1.0
0.000 4.201 4.201
4.201 0.000 4.201
4.201 4.201 0.000
Tl Os W
4 1 1
Cartesian
1.052 1.052 1.052
3.149 3.149 1.052
3.149 1.052 3.149
1.052 3.149 3.149
4.201 4.201 4.201
6.302 6.302 6.302
```

Values from the calculation:
- Space-group type: F-43m

=====

Entry 12:
# TlOs2W

An optimized crystal structure of TlOs2W (PBE, Alexandria).

Geometry as POSCAR:
```
TlOs2W
1.0
1.447 0.835 9.322
-1.447 0.835 9.322
0.000 -1.671 9.322
Tl Os W
1 2 1
Cartesian
0.000 0.000 0.000
0.000 0.000 6.775
0.000 0.000 21.190
0.000 0.000 13.983
```

Values from the calculation:
- Polymorph energy (0 for the lowest one): 0.046 eV/atom
- Space-group type: R-3m

=====

Entry 13:
# TlOsW

An optimized crystal structure of TlOsW (PBE, Alexandria).

Geometry as POSCAR:
```
TlOsW
1.0
4.574 0.000 0.000
-2.287 3.961 0.000
0.000 0.000 2.871
Tl Os W
1 1 1
Cartesian
0.000 0.000 0.000
0.000 2.641 0.000
2.287 1.320 1.436
```

Values from the calculation:
- Polymorph energy (0 for the lowest one): 0.392 eV/atom
- Space-group type: P-6m2

=====

Per-record electronic total energy, eV per atom: -8.425 -3.827 -5.707 -7.231 -6.190 -5.841 -7.359 -4.413 -6.468 -7.950 -3.750 -8.870 -7.866
Per-record D(E_F), states/eV per cell: 9.0 6.9 4.1 6.3 9.0 5.4 5.2 8.1 1.5 2.9 5.6 3.2 2.9